No. 1
Computed, not measured: ReAgSbTe2 after structural relaxation at the GGA-PBE level of DFT.

```
ReAgSbTe2
1.0
5.275 0.000 0.000
0.000 5.275 0.000
0.000 0.000 5.193
Re Ag Sb Te
1 1 1 2
Cartesian
0.000 0.000 0.000 Re
2.638 2.638 2.596 Ag
0.000 0.000 2.596 Sb
0.000 2.638 0.000 Te
2.638 0.000 0.000 Te
```

Calculated values
magnetization = 0.00 μB/f.u.
Fermi-level density of states = 1.03 states/eV/atom
excess energy over the best structure of this formula in the dataset = 0.000 eV/atom
ΔE_f (raw) = 0.80 eV per atom


No. 2
Computed, not measured: ReAgSb2Te after structural relaxation at the GGA-PBE level of DFT.

```
ReAgSb2Te
1.0
5.133 0.000 0.000
0.000 5.133 0.000
0.000 0.000 5.461
Re Ag Sb Te
1 1 2 1
Cartesian
0.000 0.000 0.000 Re
2.567 2.567 2.730 Ag
0.000 2.567 0.000 Sb
2.567 0.000 0.000 Sb
0.000 0.000 2.730 Te
```

Calculated values
magnetization = 0.17 μB/f.u.
Fermi-level density of states = 1.07 states/eV/atom
excess energy over the best structure of this formula in the dataset = 0.000 eV/atom
ΔE_f (raw) = 0.78 eV per atom


No. 3
Computed, not measured: TiRe2AgSb after structural relaxation at the GGA-PBE level of DFT.

```
TiRe2AgSb
1.0
4.608 0.000 0.000
0.000 4.608 0.000
0.000 0.000 5.020
Ti Re Ag Sb
1 2 1 1
Cartesian
0.000 0.000 0.000 Ti
0.000 2.304 0.000 Re
2.304 0.000 0.000 Re
0.000 0.000 2.510 Ag
2.304 2.304 2.510 Sb
```

Calculated values
magnetization = 0.92 μB/f.u.
Fermi-level density of states = 1.15 states/eV/atom
ΔE_f (raw) = 1.60 eV per atom


No. 4
Computed, not measured: VReAgSb2 after structural relaxation at the GGA-PBE level of DFT.

```
VReAgSb2
1.0
5.058 0.000 0.000
0.000 5.058 0.000
0.000 0.000 4.597
V Re Ag Sb
1 1 1 2
Cartesian
0.000 0.000 0.000 V
0.000 0.000 2.298 Re
2.529 2.529 2.298 Ag
0.000 2.529 0.000 Sb
2.529 0.000 0.000 Sb
```

Calculated values
magnetization = 1.22 μB/f.u.
Fermi-level density of states = 0.84 states/eV/atom
ΔE_f (raw) = 1.06 eV per atom


No. 5
Computed, not measured: ScReAg4 after structural relaxation at the GGA-PBE level of DFT.

```
ScReAg4
1.0
0.000 3.794 3.794
3.794 0.000 3.794
3.794 3.794 0.000
Sc Re Ag
1 1 4
Cartesian
0.000 0.000 0.000 Sc
1.897 1.897 1.897 Re
4.742 2.847 2.847 Ag
2.847 4.742 2.847 Ag
2.847 2.847 4.742 Ag
4.742 4.742 4.742 Ag
```

Calculated values
magnetization = 0.00 μB/f.u.
formation enthalpy at 0 K = 0.502 eV per atom
Fermi-level density of states = 0.52 states/eV/atom


No. 6
Computed, not measured: ScRe4Ag after structural relaxation at the GGA-PBE level of DFT.

```
ScRe4Ag
1.0
0.000 3.716 3.716
3.716 0.000 3.716
3.716 3.716 0.000
Sc Re Ag
1 4 1
Cartesian
0.000 0.000 0.000 Sc
2.792 2.792 2.792 Re
4.641 4.641 2.792 Re
4.641 2.792 4.641 Re
2.792 4.641 4.641 Re
5.574 5.574 5.574 Ag
```

Calculated values
magnetization = 0.00 μB/f.u.
formation enthalpy at 0 K = 0.179 eV per atom
Fermi-level density of states = 0.77 states/eV/atom


No. 7
Computed, not measured: Sc3ReAg after structural relaxation at the GGA-PBE level of DFT.

```
Sc3ReAg
1.0
4.975 0.000 0.000
0.000 4.975 0.000
0.000 0.000 4.975
Sc Re Ag
3 1 1
Cartesian
0.000 0.000 2.487 Sc
0.000 2.487 0.000 Sc
2.487 0.000 0.000 Sc
2.487 2.487 2.487 Re
0.000 0.000 0.000 Ag
```

Calculated values
magnetization = 1.28 μB/f.u.
formation enthalpy at 0 K = 1.111 eV per atom
Fermi-level density of states = 1.27 states/eV/atom
excess energy over the best structure of this formula in the dataset = 0.807 eV/atom


No. 8
Computed, not measured: Sc2ReAg2 after structural relaxation at the GGA-PBE level of DFT.

```
Sc2ReAg2
1.0
7.796 0.000 0.000
0.000 7.796 0.000
0.000 0.000 3.064
Sc Re Ag
4 2 4
Cartesian
1.405 2.492 0.000 Sc
2.492 6.390 0.000 Sc
5.303 1.405 0.000 Sc
6.390 5.303 0.000 Sc
0.000 0.000 1.532 Re
3.898 3.898 1.532 Re
0.952 4.850 1.532 Ag
2.946 0.952 1.532 Ag
4.850 6.843 1.532 Ag
6.843 2.946 1.532 Ag
```

Calculated values
magnetization = 0.00 μB/f.u.
formation enthalpy at 0 K = 0.260 eV per atom
Fermi-level density of states = 1.32 states/eV/atom
excess energy over the best structure of this formula in the dataset = 0.000 eV/atom


No. 9
Computed, not measured: Sc2ReAg2 after structural relaxation at the GGA-PBE level of DFT.

```
Sc2ReAg2
1.0
-2.581 2.581 3.936
2.581 -2.581 3.936
2.581 2.581 -3.936
Sc Re Ag
2 1 2
Cartesian
2.581 0.000 1.968 Sc
0.000 2.581 1.968 Sc
0.000 0.000 0.000 Re
0.000 0.000 2.705 Ag
0.000 0.000 5.167 Ag
```

Calculated values
magnetization = 0.00 μB/f.u.
formation enthalpy at 0 K = 0.596 eV per atom
Fermi-level density of states = 1.31 states/eV/atom
excess energy over the best structure of this formula in the dataset = 0.337 eV/atom


No. 10
Computed, not measured: Sc3ReAg after structural relaxation at the GGA-PBE level of DFT.

```
Sc3ReAg
1.0
5.038 0.000 0.000
0.000 5.038 0.000
0.000 0.000 5.038
Sc Re Ag
3 1 1
Cartesian
0.000 0.000 2.519 Sc
0.000 2.519 0.000 Sc
2.519 0.000 0.000 Sc
0.000 0.000 0.000 Re
2.519 2.519 2.519 Ag
```

Calculated values
magnetization = 0.00 μB/f.u.
formation enthalpy at 0 K = 0.304 eV per atom
Fermi-level density of states = 0.90 states/eV/atom
excess energy over the best structure of this formula in the dataset = 0.000 eV/atom


No. 11
Computed, not measured: ThScReAg after structural relaxation at the GGA-PBE level of DFT.

```
ThScReAg
1.0
0.000 3.500 3.500
3.500 0.000 3.500
3.500 3.500 0.000
Th Sc Re Ag
1 1 1 1
Cartesian
0.000 0.000 0.000 Th
3.500 3.500 3.500 Sc
1.750 1.750 1.750 Re
5.250 5.250 5.250 Ag
```

Calculated values
magnetization = 0.00 μB/f.u.
formation enthalpy at 0 K = -0.038 eV per atom
Fermi-level density of states = 0.71 states/eV/atom


No. 12
Computed, not measured: ScTiReAg after structural relaxation at the GGA-PBE level of DFT.

```
ScTiReAg
1.0
0.000 3.244 3.244
3.244 0.000 3.244
3.244 3.244 0.000
Sc Ti Re Ag
1 1 1 1
Cartesian
0.000 0.000 0.000 Sc
3.244 3.244 3.244 Ti
4.865 4.865 4.865 Re
1.622 1.622 1.622 Ag
```

Calculated values
magnetization = 0.00 μB/f.u.
formation enthalpy at 0 K = -0.101 eV per atom
Fermi-level density of states = 0.79 states/eV/atom